Entry a
A geometry-optimized HoHfCo2 structure, computed with PBE-GGA.

Calculated values
As for the symmetry: No. 225.

a b c (Å): 4.5815 4.5815 4.5815
angles (deg): 60.00 60.00 60.00
Each line ends with the local moment (μB).
Atoms (fractional coordinates):
Co: 0.2500 0.2500 0.2500  0.83
Co: 0.7500 0.7500 0.7500  0.83
Hf: 0.5000 0.5000 0.5000  -0.18
Ho: 0.0000 0.0000 0.0000  -0.17


Entry b
A geometry-optimized HoHfCo2 structure, computed with PBE-GGA.

Calculated values
As for the symmetry: No. 123.

a b c (Å): 3.2059 3.2059 6.5660
angles (deg): 90.00 90.00 90.00
Each line ends with the local moment (μB).
Atoms (fractional coordinates):
Co: 0.0000 0.0000 0.7787  0.25
Co: 0.0000 0.0000 0.2213  0.25
Hf: 0.5000 0.5000 0.0000  -0.07
Ho: 0.5000 0.5000 0.5000  -0.07


Top of the stability list: entry b, leading by 6.0 kJ/mol of atoms.


Entry a
A geometry-optimized HoHf2Co structure, computed with PBE-GGA.

Calculated values
As for the symmetry: No. 166.

a b c (Å): 3.2969 3.2969 9.9728
angles (deg): 80.49 80.49 60.00
Atoms (fractional coordinates):
Co: 0.5000 0.5000 0.5000
Hf: 0.1108 0.1108 0.6677
Hf: 0.8892 0.8892 0.3323
Ho: 0.0000 0.0000 0.0000


Entry b
A geometry-optimized HoHf2Co structure, computed with PBE-GGA.

Calculated values
As for the symmetry: No. 160.

a b c (Å): 3.4861 3.4861 8.7447
angles (deg): 78.50 78.50 60.00
Atoms (fractional coordinates):
Ho: 0.5027 0.5027 0.4918
Hf: 0.0583 0.0583 0.8252
Hf: 0.2738 0.2738 0.1786
Co: 0.6652 0.6652 0.0044


Top of the stability list: entry b, leading by 17.9 kJ/mol of atoms.


Entry a
A geometry-optimized HfCoI2 structure, computed with PBE-GGA.

Calculated values
As for the symmetry: No. 122.

a b c (Å): 6.2951 6.2951 7.1084
angles (deg): 63.72 63.72 90.00
Each line ends with the local moment (μB).
Atoms (fractional coordinates):
I: 0.5779 0.1250 0.2500  0.00
I: 0.1721 0.6250 0.2500  0.00
I: 0.3750 0.4221 0.7500  0.00
I: 0.8750 0.8279 0.7500  0.00
Co: 0.5000 0.5000 0.0000  -0.39
Co: 0.2500 0.7500 0.5000  -0.39
Hf: 0.0000 0.0000 0.0000  0.44
Hf: 0.7500 0.2500 0.5000  0.44


Entry b
A geometry-optimized HfCoI2 structure, computed with PBE-GGA.

Calculated values
As for the symmetry: No. 225.

a b c (Å): 4.9515 4.9515 4.9515
angles (deg): 60.00 60.00 60.00
Each line ends with the local moment (μB).
Atoms (fractional coordinates):
I: 0.2500 0.2500 0.2500  0.04
I: 0.7500 0.7500 0.7500  0.04
Co: 0.0000 0.0000 0.0000  1.42
Hf: 0.5000 0.5000 0.5000  -0.28


Top of the stability list: entry b, leading by 2.2 kJ/mol of atoms.


Entry a
A geometry-optimized Hf2Co2I structure, computed with PBE-GGA.

Calculated values
As for the symmetry: No. 139.

a b c (Å): 4.3435 4.3435 6.0439
angles (deg): 68.94 68.94 90.00
Atoms (fractional coordinates):
I: 0.0000 0.0000 0.0000
Co: 0.3843 0.3843 0.2313
Co: 0.6157 0.6157 0.7687
Hf: 0.7500 0.2500 0.5000
Hf: 0.2500 0.7500 0.5000


Entry b
A geometry-optimized Hf2Co2I structure, computed with PBE-GGA.

Calculated values
As for the symmetry: No. 127.

a b c (Å): 7.2546 7.2546 3.3431
angles (deg): 90.00 90.00 90.00
Atoms (fractional coordinates):
I: 0.0000 0.0000 0.0000
I: 0.5000 0.5000 0.0000
Co: 0.3721 0.8721 0.0000
Co: 0.8721 0.6279 0.0000
Co: 0.6279 0.1279 0.0000
Co: 0.1279 0.3721 0.0000
Hf: 0.1540 0.6540 0.5000
Hf: 0.6540 0.8460 0.5000
Hf: 0.8460 0.3460 0.5000
Hf: 0.3460 0.1540 0.5000


Top of the stability list: entry b, leading by 18.8 kJ/mol of atoms.


Entry a
A geometry-optimized HfCo3I structure, computed with PBE-GGA.

Calculated values
As for the symmetry: No. 221.

a b c (Å): 4.5018 4.5018 4.5018
angles (deg): 90.00 90.00 90.00
Atoms (fractional coordinates):
I: 0.0000 0.0000 0.0000
Co: 0.0000 0.5000 0.0000
Co: 0.0000 0.0000 0.5000
Co: 0.5000 0.0000 0.0000
Hf: 0.5000 0.5000 0.5000


Entry b
A geometry-optimized HfCo3I structure, computed with PBE-GGA.

Calculated values
As for the symmetry: No. 221.

a b c (Å): 4.6991 4.6991 4.6991
angles (deg): 90.00 90.00 90.00
Each line ends with the local moment (μB).
Atoms (fractional coordinates):
I: 0.5000 0.5000 0.5000  0.05
Co: 0.0000 0.5000 0.0000  0.97
Co: 0.0000 0.0000 0.5000  0.95
Co: 0.5000 0.0000 0.0000  0.76
Hf: 0.0000 0.0000 0.0000  -0.32


Top of the stability list: entry a, leading by 19.9 kJ/mol of atoms.


Entry a
A geometry-optimized Hf2CoI structure, computed with PBE-GGA.

Calculated values
As for the symmetry: No. 122.

a b c (Å): 6.0990 6.0990 7.3929
angles (deg): 65.64 65.64 90.00
Atoms (fractional coordinates):
I: 0.0000 0.0000 0.0000
I: 0.7500 0.2500 0.5000
Co: 0.5000 0.5000 0.0000
Co: 0.2500 0.7500 0.5000
Hf: 0.5338 0.1250 0.2500
Hf: 0.2162 0.6250 0.2500
Hf: 0.3750 0.4662 0.7500
Hf: 0.8750 0.7838 0.7500


Entry b
A geometry-optimized Hf2CoI structure, computed with PBE-GGA.

Calculated values
As for the symmetry: No. 225.

a b c (Å): 4.8025 4.8025 4.8025
angles (deg): 60.00 60.00 60.00
Each line ends with the local moment (μB).
Atoms (fractional coordinates):
I: 0.5000 0.5000 0.5000  0.02
Co: 0.0000 0.0000 0.0000  1.08
Hf: 0.2500 0.2500 0.2500  0.00
Hf: 0.7500 0.7500 0.7500  0.00


Top of the stability list: entry b, leading by 12.1 kJ/mol of atoms.


Entry a
A geometry-optimized HfCo2I structure, computed with PBE-GGA.

Calculated values
As for the symmetry: No. 225.

a b c (Å): 4.5068 4.5068 4.5068
angles (deg): 60.00 60.00 60.00
Atoms (fractional coordinates):
I: 0.0000 0.0000 0.0000
Co: 0.2500 0.2500 0.2500
Co: 0.7500 0.7500 0.7500
Hf: 0.5000 0.5000 0.5000


Entry b
A geometry-optimized HfCo2I structure, computed with PBE-GGA.

Calculated values
As for the symmetry: No. 122.

a b c (Å): 5.5228 5.5228 7.0204
angles (deg): 66.84 66.84 90.00
Atoms (fractional coordinates):
I: 0.5000 0.5000 0.0000
I: 0.2500 0.7500 0.5000
Co: 0.6193 0.1250 0.2500
Co: 0.1307 0.6250 0.2500
Co: 0.3750 0.3807 0.7500
Co: 0.8750 0.8693 0.7500
Hf: 0.0000 0.0000 0.0000
Hf: 0.7500 0.2500 0.5000


Top of the stability list: entry a, leading by 18.3 kJ/mol of atoms.


Entry a
A geometry-optimized HfCoI2N structure, computed with PBE-GGA.

Calculated values
As for the symmetry: No. 123.

a b c (Å): 5.8515 5.8515 3.9505
angles (deg): 90.00 90.00 90.00
Each line ends with the local moment (μB).
Atoms (fractional coordinates):
I: 0.0000 0.5000 0.0000  0.02
I: 0.5000 0.0000 0.0000  0.02
Co: 0.5000 0.5000 0.5000  2.10
Hf: 0.0000 0.0000 0.0000  0.00
N: 0.0000 0.0000 0.5000  0.01


Entry b
A geometry-optimized HfCoI2N structure, computed with PBE-GGA.

Calculated values
As for the symmetry: No. 123.

a b c (Å): 5.4332 5.4332 3.4685
angles (deg): 90.00 90.00 90.00
Each line ends with the local moment (μB).
Atoms (fractional coordinates):
I: 0.0000 0.5000 0.0000  -0.01
I: 0.5000 0.0000 0.0000  -0.01
Co: 0.0000 0.0000 0.0000  0.08
Hf: 0.5000 0.5000 0.5000  0.33
N: 0.0000 0.0000 0.5000  0.01


Top of the stability list: entry a, leading by 12.7 kJ/mol of atoms.